# 1
Computed, not measured: a relaxed structure of Ca2NdH8Rh at the GGA-PBE level of DFT.

Properties
Spin magnetization ... 0.00 μB/f.u.
E ... -47.96 eV/f.u.
Space-group type ... P-3m1 (164)

Cell: 4.803 4.803 6.834 Å, 90.00 90.00 120.00°
Fractional coordinates of all 12 atoms:
Rh 0.000 0.000 0.000
H 0.839 0.678 0.837
H 0.678 0.839 0.163
H 0.322 0.161 0.837
H 0.839 0.161 0.837
H 0.333 0.667 0.529
H 0.667 0.333 0.471
H 0.161 0.839 0.163
H 0.161 0.322 0.163
Nd 0.000 0.000 0.500
Ca 0.667 0.333 0.148
Ca 0.333 0.667 0.852


# 2
Computed, not measured: a relaxed structure of Ca2NdH8Ru at the GGA-PBE level of DFT.

Properties
Spin magnetization ... 0.00 μB/f.u.
E ... -50.28 eV/f.u.
Space-group type ... P-3m1 (164)

Cell: 4.873 4.873 6.602 Å, 90.00 90.00 120.00°
Fractional coordinates of all 12 atoms:
Nd 0.000 0.000 0.500
H 0.333 0.667 0.514
H 0.841 0.159 0.836
H 0.159 0.841 0.164
H 0.841 0.681 0.836
H 0.667 0.333 0.486
H 0.681 0.841 0.164
H 0.159 0.319 0.164
H 0.319 0.159 0.836
Ca 0.333 0.667 0.851
Ca 0.667 0.333 0.149
Ru 0.000 0.000 0.000


# 3
Computed, not measured: a relaxed structure of Ca4Nd2Sb3H2 at the GGA-PBE level of DFT.

Properties
Spin magnetization ... 0.00 μB/f.u.
E ... -45.76 eV/f.u.
Space-group type ... I4/mmm (139)

Cell: 4.736 4.736 13.026 Å, 100.48 100.48 90.00°
Fractional coordinates of all 11 atoms:
Sb 0.000 0.000 0.000
Sb 0.173 0.173 0.345
Sb 0.827 0.827 0.655
Nd 0.700 0.700 0.401
Nd 0.300 0.300 0.599
Ca 0.582 0.082 0.164
Ca 0.418 0.918 0.836
Ca 0.082 0.582 0.164
Ca 0.918 0.418 0.836
H 0.399 0.399 0.798
H 0.601 0.601 0.202


# 4
Computed, not measured: a relaxed structure of Ca6NiH2 at the GGA-PBE level of DFT.

Properties
Spin magnetization ... 0.00 μB/f.u.
E ... -25.95 eV/f.u.
Space-group type ... P2_1/c (14)

Cell: 6.260 6.683 11.397 Å, 89.94 90.00 90.00°
Fractional coordinates of all 18 atoms:
Ca 0.230 0.651 0.500
Ca 0.250 0.673 0.171
Ca 0.730 0.849 0.000
Ca 0.748 0.827 0.670
Ca 0.752 0.327 0.170
Ca 0.248 0.673 0.830
Ca 0.252 0.173 0.330
Ca 0.750 0.327 0.829
Ca 0.770 0.349 0.500
Ca 0.270 0.151 0.000
Ca 0.750 0.827 0.329
Ca 0.250 0.173 0.671
H 0.999 0.500 0.678
H 0.001 0.500 0.322
H 0.501 0.000 0.178
H 0.499 0.000 0.822
Ni 0.500 0.500 0.000
Ni 0.000 0.000 0.500


# 5
Computed, not measured: a relaxed structure of Ca3NiH6 at the GGA-PBE level of DFT.

Properties
Spin magnetization ... 0.00 μB/f.u.
E ... -36.81 eV/f.u.
Space-group type ... Cmc2_1 (36)

Cell: 5.008 7.192 7.192 Å, 103.87 90.00 90.00°
Fractional coordinates of all 20 atoms:
H 0.217 0.350 0.338
H 0.717 0.338 0.350
H 0.662 0.883 0.398
H 0.162 0.117 0.602
H 0.196 0.786 0.214
H 0.696 0.214 0.786
H 0.717 0.650 0.662
H 0.162 0.398 0.883
H 0.113 0.059 0.941
H 0.613 0.941 0.059
H 0.217 0.662 0.650
H 0.662 0.602 0.117
Ca 0.977 0.079 0.302
Ca 0.477 0.302 0.079
Ca 0.977 0.698 0.921
Ca 0.950 0.613 0.387
Ca 0.450 0.387 0.613
Ca 0.477 0.921 0.698
Ni 0.514 0.805 0.195
Ni 0.014 0.195 0.805


# 6
Computed, not measured: a relaxed structure of Ca12Ni3H5 at the GGA-PBE level of DFT.

Properties
Spin magnetization ... 0.00 μB/f.u.
E ... -62.03 eV/f.u.
Space-group type ... Ia-3d (230)

Cell: 13.463 13.463 13.463 Å, 109.47 109.47 109.47°
Fractional coordinates of all 80 atoms:
Ca 0.027 0.402 0.813
Ca 0.876 0.589 0.902
Ca 0.313 0.787 0.411
Ca 0.589 0.713 0.687
Ca 0.287 0.876 0.973
Ca 0.813 0.902 0.027
Ca 0.911 0.813 0.787
Ca 0.376 0.973 0.787
Ca 0.402 0.376 0.589
Ca 0.124 0.411 0.098
Ca 0.473 0.787 0.876
Ca 0.687 0.473 0.598
Ca 0.213 0.527 0.624
Ca 0.376 0.402 0.089
Ca 0.313 0.527 0.402
Ca 0.187 0.098 0.973
Ca 0.402 0.027 0.313
Ca 0.911 0.098 0.624
Ca 0.902 0.813 0.527
Ca 0.589 0.876 0.402
Ca 0.973 0.376 0.287
Ca 0.527 0.313 0.902
Ca 0.787 0.473 0.376
Ca 0.089 0.902 0.376
Ca 0.411 0.287 0.313
Ca 0.813 0.911 0.287
Ca 0.687 0.213 0.589
Ca 0.787 0.313 0.911
Ca 0.473 0.687 0.098
Ca 0.624 0.027 0.213
Ca 0.124 0.713 0.527
Ca 0.213 0.687 0.089
Ca 0.713 0.589 0.187
Ca 0.027 0.624 0.713
Ca 0.624 0.598 0.911
Ca 0.527 0.213 0.124
Ca 0.089 0.187 0.213
Ca 0.411 0.124 0.598
Ca 0.098 0.911 0.124
Ca 0.713 0.124 0.027
Ca 0.598 0.973 0.687
Ca 0.287 0.411 0.813
Ca 0.098 0.187 0.473
Ca 0.902 0.089 0.876
Ca 0.187 0.089 0.713
Ca 0.598 0.624 0.411
Ca 0.973 0.598 0.187
Ca 0.876 0.287 0.473
Ni 0.375 0.750 0.625
Ni 0.875 0.750 0.125
Ni 0.750 0.375 0.125
Ni 0.125 0.875 0.750
Ni 0.625 0.250 0.375
Ni 0.625 0.375 0.750
Ni 0.125 0.250 0.875
Ni 0.250 0.125 0.375
Ni 0.750 0.875 0.625
Ni 0.250 0.625 0.875
Ni 0.375 0.625 0.250
Ni 0.875 0.125 0.250
H 0.125 0.375 0.250
H 0.875 0.625 0.750
H 0.750 0.125 0.875
H 0.000 0.000 0.000
H 0.500 0.500 0.000
H 0.500 0.000 0.500
H 0.250 0.875 0.125
H 0.750 0.625 0.375
H 0.625 0.750 0.875
H 0.500 0.500 0.500
H 0.000 0.500 0.500
H 0.375 0.125 0.750
H 0.000 0.500 0.000
H 0.375 0.250 0.125
H 0.500 0.000 0.000
H 0.000 0.000 0.500
H 0.250 0.375 0.625
H 0.625 0.875 0.250
H 0.875 0.250 0.625
H 0.125 0.750 0.375


# 7
Computed, not measured: a relaxed structure of CaNi2H6 at the GGA-PBE level of DFT.

Properties
Spin magnetization ... 0.00 μB/f.u.
E ... -35.58 eV/f.u.
Space-group type ... Fd-3m (227)

Cell: 5.805 5.805 5.805 Å, 60.00 60.00 60.00°
Fractional coordinates of all 18 atoms:
H 0.037 0.463 0.037
H 0.787 0.213 0.787
H 0.213 0.213 0.787
H 0.037 0.037 0.463
H 0.037 0.463 0.463
H 0.463 0.037 0.037
H 0.213 0.787 0.213
H 0.463 0.037 0.463
H 0.213 0.787 0.787
H 0.787 0.213 0.213
H 0.463 0.463 0.037
H 0.787 0.787 0.213
Ni 0.625 0.125 0.125
Ni 0.125 0.125 0.125
Ni 0.125 0.625 0.125
Ni 0.125 0.125 0.625
Ca 0.750 0.750 0.750
Ca 0.500 0.500 0.500


# 8
Computed, not measured: a relaxed structure of Ca2NiH4 at the GGA-PBE level of DFT.

Properties
Spin magnetization ... 0.00 μB/f.u.
E ... -26.70 eV/f.u.
Space-group type ... P2_1/m (11)

Cell: 5.124 4.937 7.153 Å, 90.00 101.55 90.00°
Fractional coordinates of all 14 atoms:
H 0.082 0.750 0.357
H 0.202 0.750 0.000
H 0.509 0.998 0.268
H 0.491 0.498 0.732
H 0.798 0.250 0.000
H 0.509 0.502 0.268
H 0.918 0.250 0.643
H 0.491 0.002 0.732
Ca 0.747 0.750 0.552
Ca 0.746 0.750 0.037
Ca 0.254 0.250 0.963
Ca 0.253 0.250 0.448
Ni 0.696 0.250 0.772
Ni 0.304 0.750 0.228


# 9
Computed, not measured: a relaxed structure of Ca4Ni20H at the GGA-PBE level of DFT.

Properties
Spin magnetization ... 7.43 μB/f.u.
E ... -129.79 eV/f.u.
Space-group type ... Cmm2 (35)

Cell: 9.918 9.918 3.949 Å, 90.00 90.00 120.73°
Fractional coordinates of all 25 atoms:
Ni 0.082 0.415 0.001
Ni 0.000 0.000 0.507
Ni 0.998 0.253 0.501
Ni 0.750 0.501 0.501
Ni 0.500 0.000 0.501
Ni 0.585 0.918 0.001
Ni 0.002 0.747 0.501
Ni 0.918 0.585 0.001
Ni 0.000 0.500 0.501
Ni 0.499 0.250 0.501
Ni 0.092 0.908 0.999
Ni 0.253 0.998 0.501
Ni 0.418 0.582 0.001
Ni 0.250 0.499 0.501
Ni 0.747 0.002 0.501
Ni 0.500 0.500 0.501
Ni 0.415 0.082 0.001
Ni 0.501 0.750 0.501
Ni 0.582 0.418 0.001
Ni 0.908 0.092 0.999
Ca 0.746 0.254 0.001
Ca 0.254 0.746 0.001
Ca 0.752 0.752 0.002
Ca 0.248 0.248 0.002
H 0.000 0.000 0.084


# 10
Computed, not measured: a relaxed structure of CaNi2H8 at the GGA-PBE level of DFT.

Properties
Spin magnetization ... 0.00 μB/f.u.
E ... -41.04 eV/f.u.
Space-group type ... C2/m (12)

Cell: 3.996 4.523 4.523 Å, 115.34 90.23 90.23°
Fractional coordinates of all 11 atoms:
H 0.994 0.975 0.689
H 0.006 0.311 0.025
H 0.006 0.025 0.311
H 0.500 0.328 0.672
H 0.500 0.672 0.328
H 0.755 0.493 0.493
H 0.245 0.507 0.507
H 0.994 0.689 0.975
Ni 0.000 0.326 0.674
Ni 0.000 0.674 0.326
Ca 0.500 0.000 0.000


# 11
Computed, not measured: a relaxed structure of Ca3Ni5H12 at the GGA-PBE level of DFT.

Properties
Spin magnetization ... 0.00 μB/f.u.
E ... -79.29 eV/f.u.
Space-group type ... Ia-3d (230)

Cell: 9.761 9.761 9.761 Å, 109.47 109.47 109.47°
Fractional coordinates of all 80 atoms:
Ni 0.500 0.000 0.500
Ni 0.500 0.500 0.000
Ni 0.750 0.125 0.875
Ni 0.000 0.500 0.000
Ni 0.500 0.000 0.000
Ni 0.000 0.000 0.500
Ni 0.750 0.625 0.375
Ni 0.625 0.875 0.250
Ni 0.375 0.125 0.750
Ni 0.875 0.250 0.625
Ni 0.875 0.625 0.750
Ni 0.000 0.500 0.500
Ni 0.625 0.750 0.875
Ni 0.500 0.500 0.500
Ni 0.375 0.250 0.125
Ni 0.125 0.750 0.375
Ni 0.125 0.375 0.250
Ni 0.250 0.375 0.625
Ni 0.250 0.875 0.125
Ni 0.000 0.000 0.000
Ca 0.250 0.625 0.875
Ca 0.250 0.125 0.375
Ca 0.375 0.625 0.250
Ca 0.875 0.750 0.125
Ca 0.750 0.375 0.125
Ca 0.750 0.875 0.625
Ca 0.125 0.875 0.750
Ca 0.375 0.750 0.625
Ca 0.875 0.125 0.250
Ca 0.625 0.250 0.375
Ca 0.625 0.375 0.750
Ca 0.125 0.250 0.875
H 0.596 0.996 0.677
H 0.080 0.904 0.400
H 0.323 0.819 0.420
H 0.823 0.904 0.004
H 0.920 0.096 0.600
H 0.823 0.920 0.319
H 0.177 0.096 0.996
H 0.600 0.004 0.181
H 0.681 0.100 0.004
H 0.920 0.823 0.819
H 0.819 0.496 0.400
H 0.420 0.100 0.596
H 0.580 0.900 0.404
H 0.181 0.504 0.600
H 0.596 0.600 0.420
H 0.319 0.420 0.823
H 0.096 0.177 0.496
H 0.404 0.004 0.323
H 0.900 0.319 0.496
H 0.996 0.400 0.319
H 0.181 0.677 0.080
H 0.404 0.400 0.580
H 0.080 0.177 0.181
H 0.177 0.080 0.681
H 0.504 0.323 0.904
H 0.580 0.681 0.677
H 0.496 0.819 0.900
H 0.100 0.420 0.096
H 0.400 0.996 0.819
H 0.400 0.404 0.080
H 0.096 0.920 0.100
H 0.600 0.596 0.920
H 0.677 0.496 0.596
H 0.904 0.823 0.504
H 0.100 0.681 0.504
H 0.996 0.596 0.177
H 0.904 0.080 0.900
H 0.504 0.181 0.100
H 0.681 0.580 0.177
H 0.420 0.319 0.323
H 0.004 0.404 0.823
H 0.819 0.323 0.920
H 0.496 0.677 0.096
H 0.319 0.900 0.996
H 0.677 0.181 0.580
H 0.900 0.580 0.904
H 0.323 0.504 0.404
H 0.004 0.600 0.681


# 12
Computed, not measured: a relaxed structure of CaNi2H8 at the GGA-PBE level of DFT.

Properties
Spin magnetization ... 0.00 μB/f.u.
E ... -40.86 eV/f.u.
Space-group type ... I4/mmm (139)

Cell: 4.090 4.090 5.780 Å, 110.72 110.72 90.00°
Fractional coordinates of all 11 atoms:
Ca 0.500 0.500 0.000
H 0.390 0.938 0.328
H 0.062 0.062 0.672
H 0.938 0.938 0.328
H 0.938 0.390 0.328
H 0.610 0.062 0.672
H 0.062 0.610 0.672
H 0.390 0.390 0.328
H 0.610 0.610 0.672
Ni 0.750 0.250 0.500
Ni 0.250 0.750 0.500


# 13
Computed, not measured: a relaxed structure of CaNiH6 at the GGA-PBE level of DFT.

Properties
Spin magnetization ... 0.00 μB/f.u.
E ... -29.66 eV/f.u.
Space-group type ... R-3m (166)

Cell: 4.477 4.477 4.589 Å, 60.80 60.80 60.00°
Fractional coordinates of all 8 atoms:
H 0.088 0.605 0.219
H 0.912 0.912 0.781
H 0.395 0.912 0.781
H 0.605 0.088 0.219
H 0.912 0.395 0.781
H 0.088 0.088 0.219
Ni 0.000 0.000 0.000
Ca 0.500 0.500 0.500


# 14
Computed, not measured: a relaxed structure of Ca2NiH8 at the GGA-PBE level of DFT.

Properties
Spin magnetization ... 0.00 μB/f.u.
E ... -39.07 eV/f.u.
Space-group type ... C2/m (12)

Cell: 3.691 4.260 7.255 Å, 109.46 104.74 90.00°
Fractional coordinates of all 11 atoms:
H 0.015 0.927 0.029
H 0.425 0.640 0.849
H 0.762 0.761 0.525
H 0.406 0.112 0.811
H 0.985 0.073 0.971
H 0.238 0.239 0.475
H 0.575 0.360 0.151
H 0.594 0.888 0.189
Ca 0.843 0.351 0.685
Ca 0.157 0.649 0.315
Ni 0.500 0.000 0.000